(1)
Material: YCuMo2
Method: DFT, GGA-PBE
State: relaxed

## Properties
symmetry = R3m (160)
formation energy from the elements = 0.42 eV/atom

a = 8.6817 Å, b = 8.6817 Å, c = 8.6817 Å
α = 21.31°, β = 21.31°, γ = 21.31°
Last column: nearest neighbours and their distance in Å.
Fractional positions:
Cu 0.7405 0.7405 0.7405  3 Mo 2.67, 3 Y 2.96
Mo 0.9982 0.9982 0.9982  3 Mo 2.54, 3 Cu 2.67
Mo 0.2632 0.2632 0.2632  3 Mo 2.54
Y 0.4981 0.4981 0.4981  3 Cu 2.96, 3 Mo 3.12, 6 Y 3.21


(2)
Material: YCuMo2
Method: DFT, GGA-PBE
State: relaxed

## Properties
symmetry = P2/m (10)
formation energy from the elements = 0.42 eV/atom

a = 5.0166 Å, b = 3.0196 Å, c = 4.8668 Å
α = 83.50°, β = 90.00°, γ = 90.00°
Last column: nearest neighbours and their distance in Å.
Fractional positions:
Cu 0.5000 0.7500 0.7500  4 Y 2.71-3.01, 4 Mo 2.83, 2 Cu 3.02
Mo 0.0000 0.8785 0.9975  2 Mo 2.49-2.61
Mo 0.0000 0.6215 0.5025  2 Mo 2.49-2.61
Y 0.5000 0.2500 0.2500  4 Cu 2.71-3.01, 2 Y 3.02


(3)
Material: YCu2Mo
Method: DFT, GGA-PBE
State: relaxed

## Properties
symmetry = Pm (6)
formation energy from the elements = 0.24 eV/atom

a = 4.1523 Å, b = 3.0679 Å, c = 5.5397 Å
α = 74.12°, β = 90.00°, γ = 90.00°
Last column: nearest neighbours and their distance in Å.
Fractional positions:
Cu 0.0000 0.1836 0.0081  2 Cu 2.51, 2 Mo 2.71
Cu 0.5000 0.0525 0.2721  2 Cu 2.51, 4 Mo 2.71, 1 Y 2.77
Mo 0.0000 0.4738 0.4275  6 Cu 2.71
Y 0.5000 0.7901 0.7924  7 Cu 2.77-2.98, 2 Y 3.07


(4)
Material: YCu2Mo
Method: DFT, GGA-PBE
State: relaxed

## Properties
symmetry = Cmmm (65)
formation energy from the elements = 0.27 eV/atom

a = 7.2211 Å, b = 4.5503 Å, c = 3.2643 Å
α = 90.00°, β = 63.12°, γ = 129.15°
Last column: nearest neighbours and their distance in Å.
Fractional positions:
Cu 0.0000 0.0000 0.0000  4 Y 2.80, 4 Mo 2.80
Cu 0.5000 0.0000 0.5000  4 Mo 2.80, 4 Y 2.80
Mo 0.0000 0.5000 0.5000  8 Cu 2.80
Y 0.5000 0.5000 0.0000  8 Cu 2.80


(5)
Material: YCuMo2
Method: DFT, GGA-PBE
State: relaxed

## Properties
symmetry = I4/mmm (139)
formation energy from the elements = 0.44 eV/atom

a = 5.5151 Å, b = 5.5151 Å, c = 5.5151 Å
α = 138.72°, β = 138.72°, γ = 59.80°
Last column: nearest neighbours and their distance in Å.
Fractional positions:
Cu 0.7500 0.2500 0.5000  4 Y 2.75
Mo 0.0000 0.0000 0.0000  4 Mo 2.75
Mo 0.5000 0.5000 0.0000  4 Mo 2.75
Y 0.2500 0.7500 0.5000  4 Cu 2.75


(6)
Material: YCu2Mo
Method: DFT, GGA-PBE
State: relaxed

## Properties
symmetry = Imm2 (44)
formation energy from the elements = 0.31 eV/atom

a = 5.4706 Å, b = 5.4706 Å, c = 5.4706 Å
α = 147.70°, β = 129.04°, γ = 61.63°
Last column: nearest neighbours and their distance in Å.
Fractional positions:
Cu 0.9739 0.9739 0.0000  2 Cu 2.48
Cu 0.7650 0.2650 0.5000  2 Cu 2.48, 2 Mo 2.76
Mo 0.5197 0.5197 0.0000  6 Cu 2.76-2.84, 2 Y 3.03, 2 Mo 3.04
Y 0.2414 0.7414 0.5000  6 Cu 2.81-2.94, 4 Mo 3.03-3.14, 2 Y 3.04


(7)
Material: YCuMo
Method: DFT, GGA-PBE
State: relaxed

## Properties
symmetry = Imm2 (44)
formation energy from the elements = 0.33 eV/atom

a = 5.6850 Å, b = 5.6850 Å, c = 5.6850 Å
α = 148.26°, β = 143.85°, γ = 48.85°
Last column: nearest neighbours and their distance in Å.
Fractional positions:
Cu 0.9720 0.9720 0.0000  4 Mo 2.61
Mo 0.3627 0.3627 0.0000  4 Cu 2.61
Y 0.6653 0.6653 0.0000  5 Cu 3.09-3.18, 2 Y 3.11, 5 Mo 3.12-3.13


(8)
Material: YCu2Mo
Method: DFT, GGA-PBE
State: relaxed

## Properties
symmetry = I-42d (122)
formation energy from the elements = 0.72 eV/atom

a = 4.2625 Å, b = 4.2625 Å, c = 9.3770 Å
α = 76.86°, β = 76.86°, γ = 90.00°
Last column: nearest neighbours and their distance in Å.
Fractional positions:
Y 0.5000 0.5000 0.0000  4 Cu 2.91, 4 Mo 3.01
Y 0.2500 0.7500 0.5000  4 Cu 2.91, 4 Mo 3.01
Mo 0.0000 0.0000 0.0000  4 Cu 2.53
Mo 0.7500 0.2500 0.5000  4 Cu 2.53
Cu 0.7377 0.1250 0.2500  2 Cu 2.43, 2 Mo 2.53
Cu 0.0123 0.6250 0.2500  2 Cu 2.43, 2 Mo 2.53
Cu 0.3750 0.2623 0.7500  2 Cu 2.43, 2 Mo 2.53
Cu 0.8750 0.9877 0.7500  2 Cu 2.43, 2 Mo 2.53


(9)
Material: YCuMo2
Method: DFT, GGA-PBE
State: relaxed

## Properties
symmetry = Cmm2 (35)
formation energy from the elements = 0.34 eV/atom

a = 2.9198 Å, b = 2.9198 Å, c = 8.8662 Å
α = 90.00°, β = 90.00°, γ = 109.84°
Last column: nearest neighbours and their distance in Å.
Fractional positions:
Cu 0.5000 0.5000 0.7738  2 Mo 2.60, 2 Y 2.90
Mo 0.0000 0.0000 0.9983  2 Mo 2.59, 2 Cu 2.60
Mo 0.5000 0.5000 0.2211  2 Mo 2.59
Y 0.0000 0.0000 0.5068  2 Cu 2.90, 4 Y 2.92, 2 Mo 3.04


(10)
Material: YCu2Mo
Method: DFT, GGA-PBE
State: relaxed

## Properties
symmetry = R-3m (166)
formation energy from the elements = 0.57 eV/atom

a = 9.3964 Å, b = 9.3964 Å, c = 9.3964 Å
α = 17.94°, β = 17.94°, γ = 17.94°
Last column: nearest neighbours and their distance in Å.
Fractional positions:
Cu 0.9928 0.9928 0.9928  3 Mo 2.71, 6 Cu 2.93, 3 Y 3.03
Cu 0.5072 0.5072 0.5072  3 Mo 2.71, 6 Cu 2.93, 3 Y 3.03
Mo 0.2500 0.2500 0.2500  6 Cu 2.71, 6 Mo 2.93
Y 0.7500 0.7500 0.7500  6 Y 2.93, 6 Cu 3.03


(11)
Material: YCu2Mo2
Method: DFT, GGA-PBE
State: relaxed

## Properties
symmetry = I4/mmm (139)
formation energy from the elements = 0.39 eV/atom

a = 4.2137 Å, b = 4.2137 Å, c = 5.9956 Å
α = 69.43°, β = 69.43°, γ = 90.00°
Last column: nearest neighbours and their distance in Å.
Fractional positions:
Y 0.0000 0.0000 0.0000  8 Mo 3.19, 8 Cu 3.35
Mo 0.3906 0.3906 0.2187  1 Mo 2.28
Mo 0.6094 0.6094 0.7813  1 Mo 2.28
Cu 0.7500 0.2500 0.5000  4 Mo 2.57
Cu 0.2500 0.7500 0.5000  4 Mo 2.57


(12)
Material: YCu4Mo
Method: DFT, GGA-PBE
State: relaxed

## Properties
symmetry = F-43m (216)
formation energy from the elements = 0.14 eV/atom

a = 5.0507 Å, b = 5.0507 Å, c = 5.0507 Å
α = 60.00°, β = 60.00°, γ = 60.00°
Last column: nearest neighbours and their distance in Å.
Fractional positions:
Y 0.0000 0.0000 0.0000  12 Cu 2.96, 4 Mo 3.09
Cu 0.6240 0.6240 0.1279  6 Cu 2.51-2.54
Cu 0.6240 0.1279 0.6240  6 Cu 2.51-2.54
Cu 0.6240 0.6240 0.6240  6 Cu 2.51-2.54
Cu 0.1279 0.6240 0.6240  6 Cu 2.51-2.54
Mo 0.2500 0.2500 0.2500  12 Cu 2.96, 4 Y 3.09